TaTl3Pb: relaxed, PBE.

Output
ΔH_f (0 K)   676 meV/atom
SG   Pm-3m
Total DFT energy (no corrections)   -0.142 hartree per atom
Mass density   10.05 g cm⁻³

The structure in POSCAR format:
```
TaTl3Pb
1.0
5.4897 0.0000 0.0000
0.0000 5.4897 0.0000
0.0000 0.0000 5.4897
Pb Tl Ta
1 3 1
direct
0.5000 0.5000 0.5000
0.0000 0.5000 0.0000
0.0000 0.0000 0.5000
0.5000 0.0000 0.0000
0.0000 0.0000 0.0000
```